Below is Tb8PmMg2 after structural relaxation, with properties calculated at the PBE level.

Values from the calculation:
- N(E_F) (states/eV/atom) = 1.207
- total magnetization (μB per formula unit) = 0.00
- E (eV for the cell shown) = -43.46
- E above lowest polymorph (kJ/mol of atoms) = 11.8
- ΔE_f (eV/atom) = 0.138
- symmetry = C2/m, No. 12

a = 8.9116 Å, b = 8.9116 Å, c = 5.7032 Å
α = 102.47°, β = 102.47°, γ = 121.12°
Fractional positions:
Tb1 0.0970 0.3221 0.6330
Tb2 0.2135 0.7865 0.0000
Tb3 0.3221 0.0970 0.6330
Tb4 0.4088 0.4088 0.2044
Tb5 0.5912 0.5912 0.7956
Tb6 0.6779 0.9030 0.3670
Tb7 0.7865 0.2135 0.0000
Tb8 0.9030 0.6779 0.3670
Pm1 0.0000 0.0000 0.0000
Mg1 0.3071 0.6929 0.5000
Mg2 0.6929 0.3071 0.5000